# 1
VASP calculation (GGA-PBE) on an optimized crystal structure of GeAu3.

abc: 2.9974 2.9974 9.4306
angles: 90.00 90.00 120.00
Atoms (fractional coordinates):
Au (0.6667, 0.3333, 0.5000)
Au (0.3333, 0.6667, 0.7531)
Au (0.3333, 0.6667, 0.2469)
Ge (0.6667, 0.3333, 0.0000)

Results
Energy of formation from the pure elements in kJ/mol of formula units: 29
M_tot in μB per atom: 0.000

=====

# 2
VASP calculation (GGA-PBE) on an optimized crystal structure of Ge4Au.

abc: 5.0240 5.0240 5.0240
angles: 90.00 90.00 90.00
Atoms (fractional coordinates):
Ge (0.5000, 0.5000, 0.0000)
Ge (0.5000, 0.0000, 0.5000)
Au (0.5000, 0.5000, 0.5000)
Ge (0.0000, 0.5000, 0.5000)
Ge (0.0000, 0.0000, 0.0000)

Results
Energy of formation from the pure elements in kJ/mol of formula units: 360
M_tot in μB per atom: 0.000

=====

# 3
VASP calculation (GGA-PBE) on an optimized crystal structure of GeAu3.

abc: 4.8652 5.9114 5.9114
angles: 120.08 90.00 90.00
Atoms (fractional coordinates):
Au (0.2500, 0.1670, 0.8330)
Au (0.2500, 0.1670, 0.3341)
Au (0.2500, 0.6659, 0.8330)
Au (0.7500, 0.3341, 0.1670)
Au (0.7500, 0.8330, 0.1670)
Ge (0.2500, 0.6666, 0.3334)
Au (0.7500, 0.8330, 0.6659)
Ge (0.7500, 0.3334, 0.6666)

Results
Energy of formation from the pure elements in kJ/mol of formula units: 28
M_tot in μB per atom: 0.000